<1>
The following is a DFT calculation (PBE) of a geometry-optimized Sr2Mg2Ag structure.

a b c (Å): 7.147 7.000 7.846
angles (deg): 105.47 90.00 120.70
Sites, in units of the cell vectors:
Sr  0.576  0.322  0.641
Sr  0.254  0.678  0.859
Sr  0.424  0.678  0.359
Sr  0.746  0.322  0.141
Mg  0.792  0.811  0.041
Mg  0.981  0.189  0.459
Mg  0.208  0.189  0.959
Mg  0.019  0.811  0.541
Ag  0.787  0.000  0.750
Ag  0.213  0.000  0.250

Results
DOS(E_F) (states/eV/cell): 6.96
Crystal system: monoclinic

=====

<2>
The following is a DFT calculation (PBE) of a geometry-optimized Sr2Mg2Ag structure.

a b c (Å): 7.716 7.716 5.491
angles (deg): 90.00 90.00 90.00
Sites, in units of the cell vectors:
Sr  0.176  0.676  0.500
Sr  0.676  0.824  0.500
Sr  0.824  0.324  0.500
Sr  0.324  0.176  0.500
Mg  0.362  0.862  0.000
Mg  0.862  0.638  0.000
Mg  0.638  0.138  0.000
Mg  0.138  0.362  0.000
Ag  0.000  0.000  0.000
Ag  0.500  0.500  0.000

Results
DOS(E_F) (states/eV/cell): 9.65
Crystal system: tetragonal

=====

<3>
The following is a DFT calculation (PBE) of a geometry-optimized Sr2Mg2Ag structure.

a b c (Å): 4.140 4.140 10.353
angles (deg): 78.47 78.47 90.00
Sites, in units of the cell vectors:
Sr  0.404  0.404  0.191
Sr  0.596  0.596  0.809
Mg  0.750  0.250  0.500
Mg  0.250  0.750  0.500
Ag  0.000  0.000  0.000

Results
DOS(E_F) (states/eV/cell): 4.83
Crystal system: tetragonal

=====

Stability ranking, top entry: <1>; the second entry is 113 meV/atom less favorable.

=====

<1>
The following is a DFT calculation (PBE) of a geometry-optimized SrMg2Ag3 structure.

a b c (Å): 5.889 7.129 7.129
angles (deg): 101.69 90.00 90.00
Sites, in units of the cell vectors:
Sr  0.250  0.311  0.311
Sr  0.750  0.689  0.689
Mg  0.500  0.786  0.214
Mg  0.000  0.786  0.214
Mg  0.000  0.214  0.786
Mg  0.500  0.214  0.786
Ag  0.750  0.457  0.096
Ag  0.750  0.096  0.457
Ag  0.250  0.543  0.904
Ag  0.750  0.058  0.058
Ag  0.250  0.942  0.942
Ag  0.250  0.904  0.543

Results
DOS(E_F) (states/eV/cell): 4.09
Crystal system: orthorhombic

=====

<2>
The following is a DFT calculation (PBE) of a geometry-optimized SrMg2Ag3 structure.

a b c (Å): 4.499 6.002 6.002
angles (deg): 120.00 90.00 90.00
Sites, in units of the cell vectors:
Sr  0.000  0.000  0.000
Mg  0.000  0.667  0.333
Mg  0.000  0.333  0.667
Ag  0.500  0.000  0.500
Ag  0.500  0.500  0.500
Ag  0.500  0.500  0.000

Results
DOS(E_F) (states/eV/cell): 2.28
Crystal system: hexagonal

=====

Stability ranking, top entry: <2>; the second entry is 15 meV/atom less favorable.

=====

<1>
The following is a DFT calculation (PBE) of a geometry-optimized SrMg3Ag structure.

a b c (Å): 6.006 6.260 7.650
angles (deg): 90.00 112.61 90.00
Sites, in units of the cell vectors:
Sr  0.722  0.948  0.922
Sr  0.313  0.448  0.639
Mg  0.840  0.448  0.162
Mg  0.194  0.948  0.399
Mg  0.737  0.190  0.472
Mg  0.737  0.705  0.472
Mg  0.297  0.690  0.088
Mg  0.297  0.205  0.088
Ag  0.903  0.448  0.815
Ag  0.131  0.948  0.745

Results
DOS(E_F) (states/eV/cell): 6.11
Crystal system: monoclinic

=====

<2>
The following is a DFT calculation (PBE) of a geometry-optimized SrMg3Ag structure.

a b c (Å): 5.975 7.229 7.229
angles (deg): 120.01 90.00 90.00
Sites, in units of the cell vectors:
Sr  0.750  0.667  0.333
Sr  0.250  0.333  0.667
Mg  0.750  0.627  0.814
Mg  0.250  0.814  0.627
Mg  0.250  0.373  0.186
Mg  0.750  0.186  0.373
Mg  0.250  0.814  0.186
Mg  0.750  0.186  0.814
Ag  0.000  0.000  0.000
Ag  0.500  0.000  0.000

Results
DOS(E_F) (states/eV/cell): 7.78
Crystal system: hexagonal

=====

Stability ranking, top entry: <1>; the second entry is 57 meV/atom less favorable.

=====

<1>
The following is a DFT calculation (PBE) of a geometry-optimized Sr4MgAg structure.

a b c (Å): 7.325 7.325 7.325
angles (deg): 60.00 60.00 60.00
Sites, in units of the cell vectors:
Sr  0.875  0.375  0.375
Sr  0.375  0.375  0.875
Sr  0.375  0.875  0.375
Sr  0.375  0.375  0.375
Mg  0.000  0.000  0.000
Ag  0.750  0.750  0.750

Results
DOS(E_F) (states/eV/cell): 8.84
Crystal system: cubic

=====

<2>
The following is a DFT calculation (PBE) of a geometry-optimized Sr4MgAg structure.

a b c (Å): 5.742 5.746 8.165
angles (deg): 89.91 89.95 90.01
Sites, in units of the cell vectors:
Sr  0.501  0.997  0.258
Sr  0.501  0.998  0.738
Sr  0.002  0.498  0.738
Sr  0.001  0.497  0.259
Mg  0.502  0.497  0.999
Ag  0.001  0.998  0.498

Results
DOS(E_F) (states/eV/cell): 6.78
Crystal system: triclinic

=====

Stability ranking, top entry: <2>; the second entry is 458 meV/atom less favorable.

=====

<1>
The following is a DFT calculation (PBE) of a geometry-optimized MgTaAg structure.

a b c (Å): 3.051 3.975 9.304
angles (deg): 90.00 89.99 90.00
Sites, in units of the cell vectors:
Mg  0.782  0.975  0.703
Mg  0.281  0.475  0.232
Ag  0.281  0.475  0.558
Ag  0.781  0.975  0.377
Ta  0.781  0.975  0.037
Ta  0.281  0.475  0.898

Results
DOS(E_F) (states/eV/cell): 3.29
Crystal system: orthorhombic

=====

<2>
The following is a DFT calculation (PBE) of a geometry-optimized MgTaAg structure.

a b c (Å): 4.461 4.461 4.461
angles (deg): 60.00 60.00 60.00
Sites, in units of the cell vectors:
Mg  0.000  0.000  0.000
Ag  0.750  0.750  0.750
Ta  0.250  0.250  0.250

Results
DOS(E_F) (states/eV/cell): 1.28
Crystal system: cubic

=====

<3>
The following is a DFT calculation (PBE) of a geometry-optimized MgTaAg structure.

a b c (Å): 3.741 3.741 8.187
angles (deg): 90.00 90.00 90.00
Sites, in units of the cell vectors:
Mg  0.000  0.000  0.500
Mg  0.500  0.500  0.500
Ag  0.000  0.500  0.747
Ag  0.500  0.000  0.253
Ta  0.000  0.500  0.083
Ta  0.500  0.000  0.917

Results
DOS(E_F) (states/eV/cell): 3.22
Crystal system: tetragonal

=====

Stability ranking, top entry: <1>; the second entry is 321 meV/atom less favorable.

=====

<1>
The following is a DFT calculation (PBE) of a geometry-optimized MgTaAg structure.

a b c (Å): 2.897 13.563 2.897
angles (deg): 90.00 102.47 90.00
Sites, in units of the cell vectors:
Mg  0.914  0.208  0.043
Mg  0.914  0.881  0.043
Ag  0.414  0.371  0.543
Ag  0.414  0.045  0.542
Ta  0.914  0.541  0.043
Ta  0.414  0.702  0.543

Results
DOS(E_F) (states/eV/cell): 5.04
Crystal system: orthorhombic

=====

<2>
The following is a DFT calculation (PBE) of a geometry-optimized MgTaAg structure.

a b c (Å): 4.766 4.766 5.639
angles (deg): 90.00 90.00 120.00
Sites, in units of the cell vectors:
Mg  0.333  0.667  0.250
Mg  0.667  0.333  0.750
Ag  0.000  0.000  0.000
Ag  0.000  0.000  0.500
Ta  0.333  0.667  0.750
Ta  0.667  0.333  0.250

Results
DOS(E_F) (states/eV/cell): 3.26
Crystal system: hexagonal

=====

<3>
The following is a DFT calculation (PBE) of a geometry-optimized MgTaAg structure.

a b c (Å): 6.661 6.661 6.661
angles (deg): 154.53 154.53 36.33
Sites, in units of the cell vectors:
Ag  0.998  0.998  0.000
Mg  0.338  0.338  0.000
Ta  0.665  0.665  0.000

Results
DOS(E_F) (states/eV/cell): 2.08
Crystal system: tetragonal

=====

<4>
The following is a DFT calculation (PBE) of a geometry-optimized MgTaAg structure.

a b c (Å): 3.015 10.786 3.880
angles (deg): 111.10 90.00 73.80
Sites, in units of the cell vectors:
Mg  0.451  0.213  0.464
Mg  0.781  0.883  0.134
Ag  0.794  0.369  0.120
Ag  0.128  0.036  0.788
Ta  0.113  0.550  0.801
Ta  0.466  0.698  0.449

Results
DOS(E_F) (states/eV/cell): 2.75
Crystal system: orthorhombic

=====

Stability ranking, top entry: <1>; the second entry is 56 meV/atom less favorable.

=====

<1>
The following is a DFT calculation (PBE) of a geometry-optimized MgTaAg3 structure.

a b c (Å): 4.693 4.693 4.693
angles (deg): 90.00 90.00 90.00
Each line ends with the local moment (μB).
Sites, in units of the cell vectors:
Mg  0.000  0.000  0.000  -0.01
Ag  0.000  0.500  0.000  0.00
Ag  0.000  0.000  0.500  0.00
Ag  0.500  0.000  0.000  0.01
Ta  0.500  0.500  0.500  0.86

Results
DOS(E_F) (states/eV/cell): 4.20
Crystal system: cubic

=====

<2>
The following is a DFT calculation (PBE) of a geometry-optimized MgTaAg3 structure.

a b c (Å): 5.156 5.156 5.156
angles (deg): 90.00 90.00 90.00
Sites, in units of the cell vectors:
Mg  0.500  0.500  0.500
Ag  0.000  0.500  0.000
Ag  0.000  0.000  0.500
Ag  0.500  0.000  0.000
Ta  0.000  0.000  0.000

Results
DOS(E_F) (states/eV/cell): 3.29
Crystal system: cubic

=====

Stability ranking, top entry: <1>; the second entry is 89 meV/atom less favorable.

=====

<1>
The following is a DFT calculation (PBE) of a geometry-optimized TbMg3Ag structure.

a b c (Å): 4.448 7.527 7.527
angles (deg): 110.69 90.00 90.00
Sites, in units of the cell vectors:
Tb  0.500  0.715  0.285
Tb  0.500  0.285  0.715
Mg  0.500  0.000  0.000
Mg  0.000  0.060  0.325
Mg  0.000  0.940  0.675
Mg  0.000  0.675  0.940
Mg  0.000  0.500  0.500
Mg  0.000  0.325  0.060
Ag  0.500  0.310  0.310
Ag  0.500  0.690  0.690

Results
DOS(E_F) (states/eV/cell): 6.52
Crystal system: orthorhombic

=====

<2>
The following is a DFT calculation (PBE) of a geometry-optimized TbMg3Ag structure.

a b c (Å): 3.956 9.424 12.798
angles (deg): 90.00 90.00 90.00
Sites, in units of the cell vectors:
Tb  0.750  0.835  0.995
Tb  0.250  0.665  0.495
Tb  0.750  0.335  0.505
Tb  0.250  0.165  0.005
Mg  0.250  0.562  0.085
Mg  0.750  0.438  0.915
Mg  0.250  0.062  0.415
Mg  0.750  0.938  0.585
Mg  0.250  0.411  0.719
Mg  0.750  0.089  0.219
Mg  0.250  0.911  0.781
Mg  0.750  0.659  0.711
Mg  0.250  0.341  0.289
Mg  0.750  0.159  0.789
Mg  0.750  0.589  0.281
Mg  0.250  0.841  0.211
Ag  0.250  0.142  0.628
Ag  0.250  0.642  0.872
Ag  0.750  0.358  0.128
Ag  0.750  0.858  0.372

Results
DOS(E_F) (states/eV/cell): 15.63
Crystal system: orthorhombic

=====

Stability ranking, top entry: <1>; the second entry is 20 meV/atom less favorable.

=====

<1>
The following is a DFT calculation (PBE) of a geometry-optimized Tb4MgAg2 structure.

a b c (Å): 5.154 5.154 9.304
angles (deg): 73.92 73.92 60.00
Sites, in units of the cell vectors:
Tb  0.711  0.711  0.867
Tb  0.878  0.878  0.366
Tb  0.289  0.289  0.133
Tb  0.122  0.122  0.634
Mg  0.500  0.500  0.500
Ag  0.599  0.599  0.203
Ag  0.401  0.401  0.797

Results
DOS(E_F) (states/eV/cell): 9.06
Crystal system: trigonal

=====

<2>
The following is a DFT calculation (PBE) of a geometry-optimized Tb4MgAg2 structure.

a b c (Å): 5.181 5.181 8.717
angles (deg): 72.71 72.71 60.00
Sites, in units of the cell vectors:
Tb  0.867  0.867  0.398
Tb  0.133  0.133  0.602
Tb  0.614  0.614  0.158
Tb  0.386  0.386  0.842
Mg  0.000  0.000  0.000
Ag  0.742  0.742  0.774
Ag  0.258  0.258  0.226

Results
DOS(E_F) (states/eV/cell): 7.91
Crystal system: trigonal

=====

Stability ranking, top entry: <2>; the second entry is 123 meV/atom less favorable.

=====

<1>
The following is a DFT calculation (PBE) of a geometry-optimized Tb2MgAg structure.

a b c (Å): 3.742 3.742 7.325
angles (deg): 90.00 90.00 90.00
Sites, in units of the cell vectors:
Mg  0.500  0.500  0.500
Tb  0.000  0.000  0.758
Tb  0.000  0.000  0.242
Ag  0.500  0.500  0.000

Results
DOS(E_F) (states/eV/cell): 3.91
Crystal system: tetragonal

=====

<2>
The following is a DFT calculation (PBE) of a geometry-optimized Tb2MgAg structure.

a b c (Å): 5.262 5.262 5.262
angles (deg): 60.00 60.00 60.00
Sites, in units of the cell vectors:
Mg  0.000  0.000  0.000
Tb  0.250  0.250  0.250
Tb  0.750  0.750  0.750
Ag  0.500  0.500  0.500

Results
DOS(E_F) (states/eV/cell): 4.10
Crystal system: cubic

=====

Stability ranking, top entry: <1>; the second entry is 43 meV/atom less favorable.

=====

<1>
The following is a DFT calculation (PBE) of a geometry-optimized Tb2Mg3Ag2 structure.

a b c (Å): 4.648 5.617 7.517
angles (deg): 110.16 90.00 114.44
Sites, in units of the cell vectors:
Tb  0.862  0.725  0.219
Tb  0.138  0.275  0.781
Mg  0.500  0.000  0.000
Mg  0.628  0.255  0.438
Mg  0.372  0.745  0.562
Ag  0.846  0.693  0.798
Ag  0.154  0.307  0.202

Results
DOS(E_F) (states/eV/cell): 4.75
Crystal system: monoclinic

=====

<2>
The following is a DFT calculation (PBE) of a geometry-optimized Tb2Mg3Ag2 structure.

a b c (Å): 4.322 5.720 7.455
angles (deg): 95.77 90.00 112.20
Sites, in units of the cell vectors:
Tb  0.625  0.250  0.350
Tb  0.375  0.750  0.650
Mg  0.312  0.624  0.132
Mg  0.000  0.000  0.000
Mg  0.688  0.376  0.868
Ag  0.090  0.180  0.654
Ag  0.910  0.820  0.346

Results
DOS(E_F) (states/eV/cell): 5.65
Crystal system: monoclinic

=====

Stability ranking, top entry: <1>; the second entry is 46 meV/atom less favorable.